A plane-wave DFT calculation with PBE-GGA was carried out for a geometry-optimized ZrAlAs2 structure. Values from VASP.

Summary:
E_form, eV/atom: -0.602
Raw total energy, eV/f.u.: -24.00
Size of the total moment, μB per formula unit: 0.0
Calculated volume, Å³/cell: 158.4

The structure in Quantum ESPRESSO input format:
```
&SYSTEM
  ibrav = 0, nat = 8, ntyp = 3
/
ATOMIC_SPECIES
As 74.92 As.upf
Al 26.98 Al.upf
Zr 91.22 Zr.upf
CELL_PARAMETERS angstrom
-1.599 -3.169 1.212
6.238 -1.336 4.738
-2.389 2.699 3.906
ATOMIC_POSITIONS angstrom
As 5.270 -1.129 4.003
As -1.026 -0.442 3.294
As 2.292 -0.491 1.741
As 1.952 -1.080 5.557
Al 1.328 0.809 3.869
Al 2.916 -2.380 3.428
Zr 4.426 0.146 6.222
Zr -0.182 -1.717 1.075
```


A plane-wave DFT calculation with PBE-GGA was carried out for a geometry-optimized KPuBr6 structure. Values from VASP.

Summary:
Raw total energy, eV/f.u.: -35.31
Size of the total moment, μB per formula unit: 3.0
Calculated volume, Å³/cell: 327.3

The structure in Quantum ESPRESSO input format:
```
&SYSTEM
  ibrav = 0, nat = 8, ntyp = 3
/
ATOMIC_SPECIES
K 39.10 K.upf
Pu 244.00 Pu.upf
Br 79.90 Br.upf
CELL_PARAMETERS angstrom
-3.555 5.309 -3.251
-3.269 -6.307 -0.962
-2.021 1.270 6.696
ATOMIC_POSITIONS angstrom
K 0.000 0.000 0.000
Pu -4.423 0.136 1.241
Br -5.989 -1.572 2.633
Br -6.081 2.167 1.896
Br -2.765 -1.896 0.587
Br -2.857 1.843 -0.150
Br -2.942 0.605 3.439
Br -5.904 -0.334 -0.957
```


A plane-wave DFT calculation with PBE-GGA was carried out for a geometry-optimized MgTiMn3 structure. Values from VASP.

Summary:
E_form, eV/atom: 0.882
Raw total energy, eV/f.u.: -32.59
Size of the total moment, μB per formula unit: 8.3
Calculated volume, Å³/cell: 93.8

The structure in Quantum ESPRESSO input format:
```
&SYSTEM
  ibrav = 0, nat = 5, ntyp = 3
/
ATOMIC_SPECIES
Mg 24.30 Mg.upf
Mn 54.94 Mn.upf
Ti 47.87 Ti.upf
CELL_PARAMETERS angstrom
-1.329 -3.002 -3.140
3.486 -2.697 1.103
-2.593 -2.087 3.092
ATOMIC_POSITIONS angstrom
Mg -0.218 -3.893 0.527
Mn 1.743 -1.348 0.551
Mn -1.296 -1.043 1.546
Mn -0.665 -1.501 -1.570
Ti 0.000 0.000 0.000
```


A plane-wave DFT calculation with PBE-GGA was carried out for a geometry-optimized MgFePW2 structure. Values from VASP.

Summary:
E_form, eV/atom: 1.243
Raw total energy, eV/f.u.: -35.16
Size of the total moment, μB per formula unit: 0.0
Calculated volume, Å³/cell: 90.5

The structure in Quantum ESPRESSO input format:
```
&SYSTEM
  ibrav = 0, nat = 5, ntyp = 4
/
ATOMIC_SPECIES
P 30.97 P.upf
Mg 24.30 Mg.upf
Fe 55.84 Fe.upf
W 183.84 W.upf
CELL_PARAMETERS angstrom
4.437 0.000 0.000
0.000 4.594 0.000
0.000 0.000 4.437
ATOMIC_POSITIONS angstrom
P 2.219 2.297 2.219
Mg 0.000 2.297 0.000
Fe 0.000 0.000 0.000
W 0.000 0.000 2.219
W 2.219 0.000 0.000
```


Which formula does entry 1 have? ZrAlAs2